Entry 1:
This record from the Alexandria database describes a relaxed Be2PtW2 crystal. The functional is GGA-PBE.

a b c (Å): 5.832 5.832 3.689
angles (deg): 90.00 90.00 90.00
Fractional positions:
Be: 0.128 0.372 0.000
Be: 0.372 0.872 0.000
Be: 0.628 0.128 0.000
Be: 0.872 0.628 0.000
Pt: 0.000 0.000 0.000
Pt: 0.500 0.500 0.000
W: 0.164 0.664 0.500
W: 0.336 0.164 0.500
W: 0.664 0.836 0.500
W: 0.836 0.336 0.500

Calculated values
Raw total energy   -81.03 eV per cell
Symmetry   P4/mbm
Energy relative to the elements   -224 meV/atom

Entry 2:
This record from the Alexandria database describes a relaxed BePtW2 crystal. The functional is GGA-PBE.

a b c (Å): 6.168 6.168 6.168
angles (deg): 90.00 90.00 90.00
Fractional positions:
Be: 0.000 0.000 0.000
Be: 0.000 0.500 0.500
Be: 0.500 0.000 0.500
Be: 0.500 0.500 0.000
Pt: 0.250 0.250 0.250
Pt: 0.250 0.750 0.750
Pt: 0.750 0.250 0.750
Pt: 0.750 0.750 0.250
W: 0.000 0.000 0.500
W: 0.000 0.500 0.000
W: 0.250 0.250 0.750
W: 0.250 0.750 0.250
W: 0.500 0.000 0.000
W: 0.500 0.500 0.500
W: 0.750 0.250 0.250
W: 0.750 0.750 0.750

Calculated values
Raw total energy   -140.20 eV per cell
Symmetry   F-43m
Energy relative to the elements   156 meV/atom

Entry 3:
This record from the Alexandria database describes a relaxed Be3PtW crystal. The functional is GGA-PBE.

a b c (Å): 4.117 4.117 4.117
angles (deg): 90.00 90.00 90.00
Fractional positions:
Be: 0.000 0.000 0.500
Be: 0.000 0.500 0.000
Be: 0.500 0.000 0.000
Pt: 0.000 0.000 0.000
W: 0.500 0.500 0.500

Calculated values
Relative energy among the computed polymorphs   0 meV/atom
Raw total energy   -26.34 eV per cell
Symmetry   Pm-3m
Energy relative to the elements   766 meV/atom